(1)
# Ti2Mo4W5

A geometry-optimized Ti2Mo4W5 structure (PBE-GGA, Alexandria via LeMat-Bulk).

a = 2.734 Å, b = 7.675 Å, c = 8.838 Å
α = 90.39°, β = 90.25°, γ = 90.64°
Space group P-1 (No. 2)
Symmetry-distinct sites (fractional):
Ti: 0.004 0.003 0.251 x2
Mo: 0.331 0.338 0.259 x2
Mo: 0.338 0.831 0.999 x2
W: 0.000 0.500 0.000 x1
W: 0.326 0.829 0.499 x2
W: 0.330 0.335 0.745 x2

Results
formation energy from the elements: 0.18 eV/atom
magnetization: 0.000 Bohr magnetons per cell
crystal system: triclinic
uncorrected energy: -11.08 eV/atom

(2)
# TiMo2W2

A geometry-optimized TiMo2W2 structure (PBE-GGA, Alexandria via LeMat-Bulk).

a = 4.589 Å, b = 5.664 Å, c = 6.613 Å
α = 90.00°, β = 90.00°, γ = 90.00°
Space group Immm (No. 71)
Symmetry-distinct sites (fractional):
Ti: 0.000 0.000 0.000 x2
Mo: 0.000 0.232 0.500 x4
W: 0.000 0.500 0.196 x4

Results
formation energy from the elements: 0.52 eV/atom
magnetization: 0.000 Bohr magnetons per cell
distance to the lowest polymorph of the same formula: 674 meV/atom
crystal system: orthorhombic
uncorrected energy: -10.57 eV/atom

What did the first record say?
# Ti2Mo4W5

A geometry-optimized Ti2Mo4W5 structure (PBE-GGA, Alexandria via LeMat-Bulk).

a = 2.734 Å, b = 7.675 Å, c = 8.838 Å
α = 90.39°, β = 90.25°, γ = 90.64°
Space group P-1 (No. 2)
Symmetry-distinct sites (fractional):
Ti: 0.004 0.003 0.251 x2
Mo: 0.331 0.338 0.259 x2
Mo: 0.338 0.831 0.999 x2
W: 0.000 0.500 0.000 x1
W: 0.326 0.829 0.499 x2
W: 0.330 0.335 0.745 x2

Results
formation energy from the elements: 0.18 eV/atom
magnetization: 0.000 Bohr magnetons per cell
crystal system: triclinic
uncorrected energy: -11.08 eV/atom